Entry 1:
CuPIr2 after structural relaxation, computed with PBE.

Properties
Size of the total moment: 0.00 μB/atom
N(E_F): 2.84 states/eV per cell
E_form: 0.023 eV/atom
Volume: 55 Å³/f.u.
Crystal system: monoclinic

The structure in POSCAR format:
```
CuPIr2
1.0
4.1467 -0.0278 0.0119
3.1648 2.6795 0.0119
0.9125 0.3310 4.8847
P Cu Ir
1 1 2
Direct
0.2500 0.2500 0.2500
0.7500 0.7500 0.7500
0.9929 0.9929 0.0176
0.5071 0.5071 0.4824
```

Entry 2:
CuPIr2 after structural relaxation, computed with PBE.

Properties
Size of the total moment: 0.00 μB/atom
N(E_F): 2.61 states/eV per cell
E_form: 0.229 eV/atom
Volume: 56 Å³/f.u.
Crystal system: orthorhombic

The structure in POSCAR format:
```
CuPIr2
1.0
2.7897 0.0040 0.0000
-1.3836 2.4224 0.0000
0.0000 0.0000 8.3264
Cu P Ir
1 1 2
Direct
0.5000 0.5000 0.7500
0.5000 0.5000 0.2500
0.0000 0.0000 0.0181
0.0000 0.0000 0.4819
```

Entry 3:
Cu2PIr after structural relaxation, computed with PBE.

Properties
Size of the total moment: 0.00 μB/atom
N(E_F): 1.80 states/eV per cell
E_form: 0.034 eV/atom
Volume: 53 Å³/f.u.
Crystal system: orthorhombic

The structure in POSCAR format:
```
Cu2PIr
1.0
-0.1899 3.5850 -3.0655
-2.7837 -0.8815 -3.7094
-0.3055 -0.0066 4.7108
Ir Cu P
1 2 1
Direct
0.5350 0.5350 0.0000
0.2576 0.7576 0.5000
0.9692 0.9692 0.0000
0.7382 0.2382 0.5000
```

Entry 4:
CuPIr2 after structural relaxation, computed with PBE.

Properties
Size of the total moment: 0.00 μB/atom
N(E_F): 5.27 states/eV per cell
E_form: 0.277 eV/atom
Volume: 54 Å³/f.u.
Crystal system: tetragonal

The structure in POSCAR format:
```
CuPIr2
1.0
-3.6018 -3.0777 -0.4822
0.9943 -3.6602 -2.8796
2.1945 2.0072 3.7193
P Cu Ir
1 1 2
Direct
0.5000 0.5000 0.0000
0.7500 0.2500 0.5000
0.0000 0.0000 0.0000
0.2500 0.7500 0.5000
```

Entry 5:
CuPIr2 after structural relaxation, computed with PBE.

Properties
Size of the total moment: 0.00 μB/atom
N(E_F): 4.72 states/eV per cell
E_form: 0.367 eV/atom
Volume: 56 Å³/f.u.
Crystal system: cubic

The structure in POSCAR format:
```
CuPIr2
1.0
4.2971 0.0000 0.0000
2.1486 3.7214 0.0000
2.1486 1.2405 3.5086
P Ir Cu
1 2 1
Direct
0.7500 0.7500 0.7500
0.0000 0.0000 0.0000
0.2500 0.2500 0.2500
0.5000 0.5000 0.5000
```

Entry 6:
CuPIr2 after structural relaxation, computed with PBE.

Properties
Size of the total moment: 0.18 μB/atom
N(E_F): 4.46 states/eV per cell
E_form: 0.085 eV/atom
Volume: 55 Å³/f.u.
Crystal system: trigonal

The structure in POSCAR format:
```
CuPIr2
1.0
-1.9961 6.6984 4.3031
-2.7245 4.7074 6.1472
-0.0599 5.5890 6.0108
Cu P Ir
1 1 2
Direct
0.7571 0.7571 0.7571
0.5002 0.5002 0.5002
0.0025 0.0025 0.0025
0.2402 0.2402 0.2402
```

Entry 7:
Cu2PIr after structural relaxation, computed with PBE.

Properties
Size of the total moment: 0.00 μB/atom
N(E_F): 2.00 states/eV per cell
E_form: 0.097 eV/atom
Volume: 52 Å³/f.u.
Crystal system: monoclinic

The structure in POSCAR format:
```
Cu2PIr
1.0
4.0699 0.0000 0.0000
0.0000 2.8590 -0.0208
0.0000 1.4373 4.4958
Cu P Ir
2 1 1
Direct
0.0000 0.6274 0.5175
0.0000 0.8726 0.9825
0.5000 0.7500 0.7500
0.5000 0.2500 0.2500
```

Entry 8:
CuPIr2 after structural relaxation, computed with PBE.

Properties
Size of the total moment: 0.00 μB/atom
N(E_F): 0.13 states/eV per cell
E_form: 0.030 eV/atom
Volume: 59 Å³/f.u.
Crystal system: tetragonal

The structure in POSCAR format:
```
CuPIr2
1.0
6.8181 0.0000 0.0000
0.0000 6.8181 0.0000
3.4091 3.4091 2.5566
Ir P Cu
4 2 2
Direct
0.1848 0.6250 0.2500
0.3750 0.4348 0.7500
0.8750 0.8152 0.7500
0.5652 0.1250 0.2500
0.2500 0.7500 0.5000
0.5000 0.5000 0.0000
0.0000 0.0000 0.0000
0.7500 0.2500 0.5000
```

Entry 9:
CuPIr2 after structural relaxation, computed with PBE.

Properties
Size of the total moment: 0.00 μB/atom
N(E_F): 3.44 states/eV per cell
E_form: 0.109 eV/atom
Volume: 55 Å³/f.u.
Crystal system: orthorhombic

The structure in POSCAR format:
```
CuPIr2
1.0
2.8327 0.0000 0.0000
0.0000 3.9067 0.0000
0.0000 0.0000 4.9850
P Cu Ir
1 1 2
Direct
0.0000 0.0000 0.4471
0.5000 0.5000 0.8041
0.5000 0.5000 0.3023
0.0000 0.0000 0.9465
```

Entry 10:
Cu3PIr after structural relaxation, computed with PBE.

Properties
Size of the total moment: 0.00 μB/atom
N(E_F): 7.14 states/eV per cell
E_form: 1.390 eV/atom
Volume: 98 Å³/f.u.
Crystal system: cubic
Relative energy among the computed polymorphs: 733 meV/atom

The structure in POSCAR format:
```
Cu3PIr
1.0
4.6159 0.0000 0.0000
0.0000 4.6159 0.0000
0.0000 0.0000 4.6159
Ir Cu P
1 3 1
Direct
0.0000 0.0000 0.0000
0.5000 0.0000 0.0000
0.0000 0.5000 0.0000
0.0000 0.0000 0.5000
0.5000 0.5000 0.5000
```

Entry 11:
Cu2PIr after structural relaxation, computed with PBE.

Properties
Size of the total moment: 0.00 μB/atom
N(E_F): 1.67 states/eV per cell
E_form: 0.020 eV/atom
Volume: 51 Å³/f.u.
Crystal system: orthorhombic

The structure in POSCAR format:
```
Cu2PIr
1.0
-2.3712 1.0747 -4.2744
0.2150 -0.0878 -4.9994
-1.8691 -3.1423 -1.6290
Cu Ir P
2 1 1
Direct
0.5274 0.5274 0.4727
0.9726 0.9726 0.0273
0.7500 0.7500 0.7500
0.2500 0.2500 0.2500
```

Entry 12:
CuPIr2 after structural relaxation, computed with PBE.

Properties
Size of the total moment: 0.00 μB/atom
N(E_F): 2.68 states/eV per cell
E_form: 0.209 eV/atom
Volume: 56 Å³/f.u.
Crystal system: monoclinic

The structure in POSCAR format:
```
CuPIr2
1.0
-4.2986 -2.4480 0.6622
3.9449 -2.7643 1.3058
-0.2342 -0.4878 2.7599
P Cu Ir
1 1 2
Direct
0.5000 0.0000 0.5000
0.0000 0.5000 0.5000
0.0000 0.0000 0.0000
0.5000 0.5000 0.0000
```

Entry 13:
Cu2PIr after structural relaxation, computed with PBE.

Properties
Size of the total moment: 0.00 μB/atom
N(E_F): 3.26 states/eV per cell
E_form: 0.115 eV/atom
Volume: 52 Å³/f.u.
Crystal system: cubic

The structure in POSCAR format:
```
Cu2PIr
1.0
4.1778 0.0000 0.0000
2.0889 3.6181 0.0000
2.0889 1.2060 3.4111
Cu P Ir
2 1 1
Direct
0.2500 0.2500 0.2500
0.0000 0.0000 0.0000
0.7500 0.7500 0.7500
0.5000 0.5000 0.5000
```

Entry 14:
Cu2PIr after structural relaxation, computed with PBE.

Properties
Size of the total moment: 0.00 μB/atom
N(E_F): 2.33 states/eV per cell
E_form: 0.093 eV/atom
Volume: 52 Å³/f.u.
Crystal system: orthorhombic

The structure in POSCAR format:
```
Cu2PIr
1.0
-0.9281 -4.0344 1.7918
1.6862 0.0841 -5.3148
2.6133 -0.9268 -0.7364
Cu Ir P
2 1 1
Direct
0.0000 0.0000 0.0000
0.0000 0.5000 0.5000
0.5000 0.5000 0.0000
0.5000 0.0000 0.5000
```

Entry 15:
Cu2PIr after structural relaxation, computed with PBE.

Properties
Size of the total moment: 0.00 μB/atom
N(E_F): 3.74 states/eV per cell
E_form: 0.191 eV/atom
Volume: 55 Å³/f.u.
Crystal system: tetragonal

The structure in POSCAR format:
```
Cu2PIr
1.0
-6.1625 -0.7391 -3.0273
-2.7160 -2.0150 6.0208
-4.9525 0.8281 2.0032
Cu Ir P
4 2 2
Direct
0.5884 0.1250 0.2500
0.8750 0.8384 0.7500
0.3750 0.4116 0.7500
0.1616 0.6250 0.2500
0.0000 0.0000 0.0000
0.7500 0.2500 0.5000
0.2500 0.7500 0.5000
0.5000 0.5000 0.0000
```

Entry 16:
CuPIr2 after structural relaxation, computed with PBE.

Properties
Size of the total moment: 0.00 μB/atom
N(E_F): 3.94 states/eV per cell
E_form: 0.113 eV/atom
Volume: 53 Å³/f.u.
Crystal system: tetragonal

The structure in POSCAR format:
```
CuPIr2
1.0
-1.8447 -2.6280 0.5530
2.2411 -2.1201 -2.5994
2.4566 -1.0914 3.0081
Cu Ir P
1 2 1
Direct
0.5000 0.0000 0.5000
0.0000 0.0000 0.0000
0.0000 0.5000 0.5000
0.5000 0.5000 0.0000
```

Entry 17:
Cu2PIr after structural relaxation, computed with PBE.

Properties
Size of the total moment: 0.05 μB/atom
N(E_F): 4.19 states/eV per cell
E_form: 0.185 eV/atom
Volume: 53 Å³/f.u.
Crystal system: trigonal

The structure in POSCAR format:
```
Cu2PIr
1.0
8.0972 -0.0095 -0.0056
7.6271 2.7189 -0.0056
7.6271 1.3142 2.3802
Cu Ir P
2 1 1
Direct
0.4938 0.4938 0.4938
0.0062 0.0062 0.0062
0.2500 0.2500 0.2500
0.7500 0.7500 0.7500
```

Entry 18:
CuPIr2 after structural relaxation, computed with PBE.

Properties
Size of the total moment: 0.00 μB/atom
N(E_F): 2.42 states/eV per cell
E_form: 0.042 eV/atom
Volume: 56 Å³/f.u.
Crystal system: orthorhombic

The structure in POSCAR format:
```
CuPIr2
1.0
-2.7932 2.6434 -3.3502
-2.2781 -2.6180 -3.7375
0.4799 0.7786 5.0176
P Ir Cu
1 2 1
Direct
0.7500 0.2500 0.5000
0.5397 0.5397 0.0000
0.9603 0.9603 0.0000
0.2500 0.7500 0.5000
```

Entry 19:
CuPIr2 after structural relaxation, computed with PBE.

Properties
Size of the total moment: 0.00 μB/atom
N(E_F): 2.39 states/eV per cell
E_form: -0.006 eV/atom
Volume: 55 Å³/f.u.
Crystal system: monoclinic

The structure in POSCAR format:
```
CuPIr2
1.0
-0.1767 0.4408 3.7888
2.7277 -0.8644 0.2277
2.8954 4.3438 -0.3703
Ir P Cu
2 1 1
Direct
0.0000 0.1308 0.0141
0.0000 0.3692 0.4859
0.5000 0.2500 0.2500
0.5000 0.7500 0.7500
```

Entry 20:
CuPIr2 after structural relaxation, computed with PBE.

Properties
Size of the total moment: 0.00 μB/atom
N(E_F): 1.62 states/eV per cell
E_form: -0.018 eV/atom
Volume: 54 Å³/f.u.
Crystal system: tetragonal

The structure in POSCAR format:
```
CuPIr2
1.0
-0.8986 2.2063 -1.5788
-1.9819 -1.6696 -1.2051
-4.2500 1.6424 4.7140
Cu Ir P
1 2 1
Direct
0.5000 0.5000 0.7500
0.0000 0.0000 0.0297
0.0000 0.0000 0.4703
0.5000 0.5000 0.2500
```